VASP calculation (GGA-PBE) on TlZnW2 after structural relaxation.

Computed properties:
electronic total energy: -6.52 eV per atom
ρ: 15278 kg/m3

The structure in POSCAR format:
```
TlZnW2
1.0
0.000 3.260 3.260
3.260 0.000 3.260
3.260 3.260 0.000
W Zn Tl
2 1 1
Direct
0.750 0.750 0.750
0.000 0.000 0.000
0.250 0.250 0.250
0.500 0.500 0.500
```

---

VASP calculation (GGA-PBE) on ZrTl2W after structural relaxation.

Computed properties:
electronic total energy: -5.69 eV per atom
ρ: 13098 kg/m3

The structure in POSCAR format:
```
ZrTl2W
1.0
0.000 3.513 3.513
3.513 0.000 3.513
3.513 3.513 0.000
W Tl Zr
1 2 1
Direct
0.750 0.750 0.750
0.250 0.250 0.250
0.000 0.000 0.000
0.500 0.500 0.500
```

---

no.,volume (Å³/atom)
1,17.321
2,21.674